{
  "formula": "V2O3",
  "functional": "GGA+U",
  "state": "optimized geometry",
  "m_tot_mub_per_atom": 0.80,
  "space_group": "Pbca, No. 61",
  "crystal_system": "orthorhombic",
  "dft_energy_ev_per_atom": -8.002,
  "lattice": [[5.143, 0.000, 0.000], [0.000, 5.458, 0.000], [0.000, 0.000, 15.049]],
  "species": ["V", "V", "V", "V", "V", "V", "V", "V", "V", "V", "V", "V", "V", "V", "V", "V", "O", "O", "O", "O", "O", "O", "O", "O", "O", "O", "O", "O", "O", "O", "O", "O", "O", "O", "O", "O", "O", "O", "O", "O"],
  "fractional_positions": [[0.000, 0.182, 0.073], [0.000, 0.318, 0.573], [0.000, 0.682, 0.427], [0.000, 0.818, 0.927], [0.002, 0.245, 0.321], [0.002, 0.255, 0.821], [0.498, 0.745, 0.321], [0.498, 0.755, 0.821], [0.500, 0.182, 0.427], [0.500, 0.318, 0.927], [0.500, 0.682, 0.073], [0.500, 0.818, 0.573], [0.502, 0.245, 0.179], [0.502, 0.255, 0.679], [0.998, 0.745, 0.179], [0.998, 0.755, 0.679], [0.142, 0.111, 0.202], [0.142, 0.389, 0.702], [0.150, 0.666, 0.550], [0.150, 0.834, 0.050], [0.200, 0.535, 0.875], [0.200, 0.965, 0.375], [0.300, 0.035, 0.875], [0.300, 0.465, 0.375], [0.350, 0.166, 0.550], [0.350, 0.334, 0.050], [0.358, 0.611, 0.202], [0.358, 0.889, 0.702], [0.642, 0.111, 0.298], [0.642, 0.389, 0.798], [0.650, 0.666, 0.950], [0.650, 0.834, 0.450], [0.700, 0.535, 0.625], [0.700, 0.965, 0.125], [0.800, 0.035, 0.625], [0.800, 0.465, 0.125], [0.850, 0.166, 0.950], [0.850, 0.334, 0.450], [0.858, 0.611, 0.298], [0.858, 0.889, 0.798]]
}